Entry 1:
# PBE YNbH2O, relaxed
data_YNbH2O
_cell_length_a 4.393
_cell_length_b 4.393
_cell_length_c 4.089
_cell_angle_alpha 90.00
_cell_angle_beta 90.00
_cell_angle_gamma 90.00
_symmetry_space_group_name_H-M 'P 4/m m m'
_symmetry_Int_Tables_number 123
_symmetry_space_group_name_Hall '-P 4 2'
loop_
_atom_site_label
_atom_site_type_symbol
_atom_site_fract_x
_atom_site_fract_y
_atom_site_fract_z
Y1 Y 0.000 0.000 0.000
Nb1 Nb 0.500 0.500 0.000
H1 H 0.000 0.500 0.500
O1 O 0.000 0.000 0.500
# density of states at the Fermi level = 7.38 states/eV/f.u.
# final energy = -4.937 eV per atom

Entry 2:
# PBE NbZnH2O, relaxed
data_NbZnH2O
_cell_length_a 3.097
_cell_length_b 3.097
_cell_length_c 6.315
_cell_angle_alpha 90.00
_cell_angle_beta 90.00
_cell_angle_gamma 90.00
_symmetry_space_group_name_H-M 'P 4/m m m'
_symmetry_Int_Tables_number 123
_symmetry_space_group_name_Hall '-P 4 2'
loop_
_atom_site_label
_atom_site_type_symbol
_atom_site_fract_x
_atom_site_fract_y
_atom_site_fract_z
Nb1 Nb 0.000 0.000 0.000
Zn1 Zn 0.500 0.500 0.500
H1 H 0.000 0.500 0.500
O1 O 0.500 0.500 0.000
# density of states at the Fermi level = 2.29 states/eV/f.u.
# final energy = -4.649 eV per atom

Entry 3:
# PBE Nb2H2Os, relaxed
data_Nb2H2Os
_cell_length_a 6.144
_cell_length_b 6.144
_cell_length_c 2.978
_cell_angle_alpha 90.00
_cell_angle_beta 90.00
_cell_angle_gamma 90.00
_symmetry_space_group_name_H-M 'P 4/m b m'
_symmetry_Int_Tables_number 127
_symmetry_space_group_name_Hall '-P 4 2ab'
loop_
_atom_site_label
_atom_site_type_symbol
_atom_site_fract_x
_atom_site_fract_y
_atom_site_fract_z
Nb1 Nb 0.162 0.338 0.000
H1 H 0.124 0.624 0.500
Os1 Os 0.000 0.000 0.500
# density of states at the Fermi level = 2.89 states/eV/f.u.
# E above lowest polymorph = 0.3774 eV/atom

Entry 4:
# PBE Nb2HOs, relaxed
data_Nb2HOs
_cell_length_a 2.8933
_cell_length_b 2.8933
_cell_length_c 21.6819
_cell_angle_alpha 90.00
_cell_angle_beta 90.00
_cell_angle_gamma 120.00
_symmetry_space_group_name_H-M 'R -3 m'
_symmetry_Int_Tables_number 166
_symmetry_space_group_name_Hall '-R 3 2"'
loop_
_atom_site_label
_atom_site_type_symbol
_atom_site_fract_x
_atom_site_fract_y
_atom_site_fract_z
Nb1 Nb 0.0000 0.0000 0.2293
H1 H 0.0000 0.0000 0.5000
Os1 Os 0.0000 0.0000 0.0000
# density of states at the Fermi level = 2.35 states/eV/f.u.
# E above lowest polymorph = 0.0000 eV/atom

Entry 5:
# PBE NbHOs3, relaxed
data_NbHOs3
_cell_length_a 4.805
_cell_length_b 4.805
_cell_length_c 4.805
_cell_angle_alpha 90.00
_cell_angle_beta 90.00
_cell_angle_gamma 90.00
_symmetry_space_group_name_H-M 'P m -3 m'
_symmetry_Int_Tables_number 221
_symmetry_space_group_name_Hall '-P 4 2 3'
loop_
_atom_site_label
_atom_site_type_symbol
_atom_site_fract_x
_atom_site_fract_y
_atom_site_fract_z
Nb1 Nb 0.000 0.000 0.000
H1 H 0.500 0.500 0.500
Os1 Os 0.000 0.000 0.500
# density of states at the Fermi level = 6.08 states/eV/f.u.
# E above lowest polymorph = 3.0140 eV/atom

Entry 6:
# PBE Nb2HOs, relaxed
data_Nb2HOs
_cell_length_a 6.012
_cell_length_b 6.012
_cell_length_c 6.261
_cell_angle_alpha 90.00
_cell_angle_beta 90.00
_cell_angle_gamma 90.00
_symmetry_space_group_name_H-M 'I -4 2 d'
_symmetry_Int_Tables_number 122
_symmetry_space_group_name_Hall 'I -4 2bw'
loop_
_atom_site_label
_atom_site_type_symbol
_atom_site_fract_x
_atom_site_fract_y
_atom_site_fract_z
Nb1 Nb 0.174 0.250 0.125
H1 H 0.000 0.000 0.000
Os1 Os 0.000 0.000 0.500
# density of states at the Fermi level = 1.90 states/eV/f.u.
# E above lowest polymorph = 0.1582 eV/atom

How do the records compare in magnetic moment? In the order shown, they have 0.00; 0.72; 0.00; 0.00; 3.97; 0.00 μB per formula unit.